The following is a PBE calculation of Tm4IrPt2 after structural relaxation, from the Alexandria database.

Values from the calculation:
Electronic total energy ... -6.613 eV per atom
DFT formation energy ... -1.066 eV/atom
Relative energy among the computed polymorphs ... 0.31 kcal/mol of atoms

Cell lengths 7.413, 7.415, 7.414 Å; angles 109.59, 109.59, 109.24 degrees
Positions (direct):
Tm (0.369, 0.120, 0.377)
Tm (0.507, 0.630, 0.749)
Tm (0.881, 0.758, 0.250)
Ir (0.000, 0.000, 0.000)
Tm (0.370, 0.119, 0.878)
Tm (0.242, 0.492, 0.122)
Ir (0.250, 0.750, 0.500)
Tm (0.880, 0.258, 0.250)
Pt (0.748, 0.375, 0.872)
Tm (0.008, 0.631, 0.751)
Pt (0.625, 0.497, 0.372)
Pt (0.125, 0.252, 0.628)
Pt (0.503, 0.875, 0.128)
Tm (0.742, 0.991, 0.622)

=====

The following is a PBE calculation of Sm4Si3PdPt12 after structural relaxation, from the Alexandria database.

Values from the calculation:
Electronic total energy ... -6.159 eV per atom
ΔE_f (raw) ... -0.52 eV/atom

Cell lengths 8.115, 8.115, 8.115 Å; angles 109.47, 109.47, 109.47 degrees
Positions (direct):
Pt (0.500, 0.750, 0.250)
Pt (0.750, 0.500, 0.250)
Pt (0.000, 0.734, 0.734)
Si (0.500, 0.000, 0.500)
Pt (0.266, 0.266, 0.000)
Si (0.500, 0.500, 0.000)
Pt (0.266, 0.000, 0.266)
Pt (0.250, 0.500, 0.750)
Sm (0.500, 0.000, 0.000)
Pt (0.000, 0.266, 0.266)
Sm (0.500, 0.500, 0.500)
Pt (0.734, 0.000, 0.734)
Pt (0.734, 0.734, 0.000)
Pt (0.750, 0.250, 0.500)
Sm (0.000, 0.000, 0.500)
Si (0.000, 0.500, 0.500)
Pt (0.250, 0.750, 0.500)
Pd (0.000, 0.000, 0.000)
Sm (0.000, 0.500, 0.000)
Pt (0.500, 0.250, 0.750)

=====

The following is a PBE calculation of BaBr after structural relaxation, from the Alexandria database.

Values from the calculation:
Electronic total energy ... -3.295 eV per atom
ΔE_f (raw) ... -1.50 eV/atom

Cell lengths 9.445, 10.471, 4.453 Å; angles 77.72, 76.36, 25.57 degrees
Positions (direct):
Br (0.507, 0.542, 0.476)
Br (0.410, 0.042, 0.274)
Ba (0.032, 0.542, 0.713)
Ba (0.885, 0.042, 0.037)

=====

The following is a PBE calculation of Ba3Ag2BiO6 after structural relaxation, from the Alexandria database.

Values from the calculation:
Electronic total energy ... -5.223 eV per atom
ΔE_f (raw) ... -1.46 eV/atom

Cell lengths 6.247, 6.247, 6.958 Å; angles 90.00, 90.00, 120.00 degrees
Positions (direct):
Ba (0.000, 0.000, 0.000)
Ag (0.667, 0.333, 0.877)
O (0.837, 0.674, 0.684)
O (0.837, 0.163, 0.684)
Ag (0.333, 0.667, 0.123)
O (0.163, 0.326, 0.316)
O (0.674, 0.837, 0.316)
Ba (0.333, 0.667, 0.616)
Ba (0.667, 0.333, 0.384)
Bi (0.000, 0.000, 0.500)
O (0.163, 0.837, 0.316)
O (0.326, 0.163, 0.684)

=====

The following is a PBE calculation of CaBe2Mo after structural relaxation, from the Alexandria database.

Values from the calculation:
Electronic total energy ... -4.434 eV per atom
DFT formation energy ... 0.638 eV/atom
Relative energy among the computed polymorphs ... 8.70 kcal/mol of atoms

Cell lengths 4.438, 4.438, 4.442 Å; angles 120.09, 119.84, 90.01 degrees
Positions (direct):
Be (0.499, 0.499, 0.000)
Ca (0.750, 0.250, 0.500)
Mo (0.250, 0.750, 0.500)
Be (0.001, 0.001, 0.000)

=====

The following is a PBE calculation of Sm4Er5Hg after structural relaxation, from the Alexandria database.

Values from the calculation:
Electronic total energy ... -4.280 eV per atom
DFT formation energy ... -0.081 eV/atom

Cell lengths 3.578, 3.578, 24.052 Å; angles 90.00, 90.00, 90.00 degrees
Positions (direct):
Er (0.500, 0.500, 0.291)
Sm (0.000, 0.000, 0.186)
Er (0.500, 0.500, 0.500)
Er (0.500, 0.500, 0.709)
Sm (0.000, 0.000, 0.814)
Hg (0.000, 0.000, 0.000)
Er (0.500, 0.500, 0.918)
Sm (0.000, 0.000, 0.604)
Sm (0.000, 0.000, 0.396)
Er (0.500, 0.500, 0.082)

=====

> Which value of electronic total energy does entry 1 give?

-6.613 eV per atom

=====

> The highest electronic total energy belongs to which entry?

BaBr